Record 1
# VInS2Cl (PBE, optimized geometry)
# energy relative to the lowest polymorph listed for this composition	18.660	kcal/mol of atoms
# D(E_F)	0.982	states/eV per atom
data_VInS2Cl
_chemical_formula_sum 'V1 In1 S2 Cl1'
_space_group_name_H-M_alt 'P 4/m m m'
_space_group_IT_number 123
_space_group_name_Hall '-P 4 2'
_cell_length_a 5.0756
_cell_length_b 5.0756
_cell_length_c 4.8950
_cell_angle_alpha 90.00
_cell_angle_beta 90.00
_cell_angle_gamma 90.00
loop_
_atom_site_label
_atom_site_type_symbol
_atom_site_fract_x
_atom_site_fract_y
_atom_site_fract_z
_atom_site_occupancy
V1 V 0.0000 0.0000 0.0000 1
In1 In 0.5000 0.5000 0.5000 1
S1 S 0.0000 0.5000 0.5000 1
Cl1 Cl 0.5000 0.5000 0.0000 1

---

Record 2
# Ac2AuS (PBE, optimized geometry)
# energy relative to the lowest polymorph listed for this composition	0.000	kcal/mol of atoms
# D(E_F)	1.127	states/eV per atom
data_Ac2AuS
_chemical_formula_sum 'Ac6 Au3 S3'
_space_group_name_H-M_alt 'R -3 m'
_space_group_IT_number 166
_space_group_name_Hall '-R 3 2"'
_cell_length_a 4.3769
_cell_length_b 4.3769
_cell_length_c 22.7799
_cell_angle_alpha 90.00
_cell_angle_beta 90.00
_cell_angle_gamma 120.00
loop_
_atom_site_label
_atom_site_type_symbol
_atom_site_fract_x
_atom_site_fract_y
_atom_site_fract_z
_atom_site_occupancy
Ac1 Ac 0.0000 0.0000 0.2469 1
Au1 Au 0.0000 0.0000 0.0000 1
S1 S 0.0000 0.0000 0.5000 1

---

Record 3
# MoIr2Br (PBE, optimized geometry)
# energy relative to the lowest polymorph listed for this composition	4.329	kcal/mol of atoms
# D(E_F)	0.903	states/eV per atom
data_MoIr2Br
_chemical_formula_sum 'Mo2 Ir4 Br2'
_space_group_name_H-M_alt 'C m m m'
_space_group_IT_number 65
_space_group_name_Hall '-C 2 2'
_cell_length_a 2.8249
_cell_length_b 4.7227
_cell_length_c 11.3901
_cell_angle_alpha 90.00
_cell_angle_beta 90.00
_cell_angle_gamma 90.00
loop_
_atom_site_label
_atom_site_type_symbol
_atom_site_fract_x
_atom_site_fract_y
_atom_site_fract_z
_atom_site_occupancy
Mo1 Mo 0.0000 0.0000 0.0000 1
Ir1 Ir 0.0000 0.5000 0.1959 1
Br1 Br 0.0000 0.0000 0.5000 1

---

Record 4
# TiV2AgW (PBE, optimized geometry)
# ΔH_f (0 K)	1.4815	eV/atom
# D(E_F)	1.479	states/eV per atom
data_TiV2AgW
_chemical_formula_sum 'Ti1 V2 Ag1 W1'
_space_group_name_H-M_alt 'P 4/m m m'
_space_group_IT_number 123
_space_group_name_Hall '-P 4 2'
_cell_length_a 4.4010
_cell_length_b 4.4010
_cell_length_c 4.6304
_cell_angle_alpha 90.00
_cell_angle_beta 90.00
_cell_angle_gamma 90.00
loop_
_atom_site_label
_atom_site_type_symbol
_atom_site_fract_x
_atom_site_fract_y
_atom_site_fract_z
_atom_site_occupancy
Ti1 Ti 0.0000 0.0000 0.0000 1
V1 V 0.0000 0.5000 0.0000 1
Ag1 Ag 0.5000 0.5000 0.5000 1
W1 W 0.0000 0.0000 0.5000 1

---

Record 5
Crystalline CdGaTeI at its relaxed geometry. Source: Alexandria, functional PBE.

```
data_CdGaTeI
_chemical_formula_sum 'Cd2 Ga2 Te2 I2'
_space_group_name_H-M_alt 'C 1 m 1'
_space_group_IT_number 8
_space_group_name_Hall 'C -2y'
_cell_length_a 7.2837
_cell_length_b 4.2062
_cell_length_c 9.5997
_cell_angle_alpha 90.00
_cell_angle_beta 90.14
_cell_angle_gamma 90.00
loop_
_atom_site_label
_atom_site_type_symbol
_atom_site_fract_x
_atom_site_fract_y
_atom_site_fract_z
_atom_site_occupancy
Cd1 Cd 0.0000 0.0000 0.0000 1
Ga1 Ga 0.9997 0.0000 0.7302 1
Te1 Te 0.3326 0.0000 0.5989 1
I1 I 0.1673 0.5000 0.1792 1
```

---

Record 6
# Ca2SeO (PBE, optimized geometry)
# energy relative to the lowest polymorph listed for this composition	15.211	kcal/mol of atoms
# D(E_F)	0.000	states/eV per atom
data_Ca2SeO
_chemical_formula_sum 'Ca8 Se4 O4'
_space_group_name_H-M_alt 'F m -3 m'
_space_group_IT_number 225
_space_group_name_Hall '-F 4 2 3'
_cell_length_a 6.7373
_cell_length_b 6.7373
_cell_length_c 6.7373
_cell_angle_alpha 90.00
_cell_angle_beta 90.00
_cell_angle_gamma 90.00
loop_
_atom_site_label
_atom_site_type_symbol
_atom_site_fract_x
_atom_site_fract_y
_atom_site_fract_z
_atom_site_occupancy
Ca1 Ca 0.2500 0.2500 0.2500 1
Se1 Se 0.0000 0.0000 0.0000 1
O1 O 0.0000 0.0000 0.5000 1

---

Record 7
# LiScNiIr (PBE, optimized geometry)
# ΔH_f (0 K)	-0.3907	eV/atom
# D(E_F)	0.600	states/eV per atom
data_LiScNiIr
_chemical_formula_sum 'Li4 Sc4 Ni4 Ir4'
_space_group_name_H-M_alt 'F -4 3 m'
_space_group_IT_number 216
_space_group_name_Hall 'F -4 2 3'
_cell_length_a 6.1384
_cell_length_b 6.1384
_cell_length_c 6.1384
_cell_angle_alpha 90.00
_cell_angle_beta 90.00
_cell_angle_gamma 90.00
loop_
_atom_site_label
_atom_site_type_symbol
_atom_site_fract_x
_atom_site_fract_y
_atom_site_fract_z
_atom_site_occupancy
Li1 Li 0.0000 0.0000 0.0000 1
Sc1 Sc 0.0000 0.0000 0.5000 1
Ni1 Ni 0.2500 0.2500 0.2500 1
Ir1 Ir 0.2500 0.2500 0.7500 1

---

Record 8
# TlRuBr (PBE, optimized geometry)
# energy relative to the lowest polymorph listed for this composition	0.000	kcal/mol of atoms
# D(E_F)	1.162	states/eV per atom
data_TlRuBr
_chemical_formula_sum 'Tl1 Ru1 Br1'
_space_group_name_H-M_alt 'P 3 m 1'
_space_group_IT_number 156
_space_group_name_Hall 'P 3 -2"'
_cell_length_a 3.4969
_cell_length_b 3.4969
_cell_length_c 6.3633
_cell_angle_alpha 90.00
_cell_angle_beta 90.00
_cell_angle_gamma 120.00
loop_
_atom_site_label
_atom_site_type_symbol
_atom_site_fract_x
_atom_site_fract_y
_atom_site_fract_z
_atom_site_occupancy
Tl1 Tl 0.0000 0.0000 0.0000 1
Ru1 Ru 0.3333 0.6667 0.6864 1
Br1 Br 0.6667 0.3333 0.4229 1

---

Record 9
# LiAc2PuTe5 (PBE, optimized geometry)
# D(E_F)	1.739	states/eV per atom
data_LiAc2PuTe5
_chemical_formula_sum 'Li4 Ac8 Pu4 Te20'
_space_group_name_H-M_alt 'C m c 21'
_space_group_IT_number 36
_space_group_name_Hall 'C 2c -2'
_cell_length_a 4.6169
_cell_length_b 19.2980
_cell_length_c 13.4759
_cell_angle_alpha 90.00
_cell_angle_beta 90.00
_cell_angle_gamma 90.00
loop_
_atom_site_label
_atom_site_type_symbol
_atom_site_fract_x
_atom_site_fract_y
_atom_site_fract_z
_atom_site_occupancy
Li1 Li 0.0000 0.0582 0.0000 1
Ac1 Ac 0.0000 0.3747 0.8428 1
Ac2 Ac 0.0000 0.3919 0.2234 1
Pu1 Pu 0.0000 0.3005 0.5462 1
Te1 Te 0.0000 0.0011 0.3178 1
Te2 Te 0.0000 0.1380 0.5380 1
Te3 Te 0.0000 0.1898 0.8883 1
Te4 Te 0.0000 0.2126 0.2020 1
Te5 Te 0.0000 0.4518 0.6022 1

---

Record 10
# MgSiIr2 (PBE, optimized geometry)
# D(E_F)	0.568	states/eV per atom
data_MgSiIr2
_chemical_formula_sum 'Mg1 Si1 Ir2'
_space_group_name_H-M_alt 'P 1 2/m 1'
_space_group_IT_number 10
_space_group_name_Hall '-P 2y'
_cell_length_a 2.8773
_cell_length_b 3.8966
_cell_length_c 5.4636
_cell_angle_alpha 90.00
_cell_angle_beta 105.21
_cell_angle_gamma 90.00
loop_
_atom_site_label
_atom_site_type_symbol
_atom_site_fract_x
_atom_site_fract_y
_atom_site_fract_z
_atom_site_occupancy
Mg1 Mg 0.0000 0.0000 0.0000 1
Si1 Si 0.5000 0.0000 0.5000 1
Ir1 Ir 0.3710 0.5000 0.7318 1

---

Record 11
# K2BeSnS4 (PBE, optimized geometry)
# D(E_F)	0.000	states/eV per atom
data_K2BeSnS4
_chemical_formula_sum 'K4 Be2 Sn2 S8'
_space_group_name_H-M_alt 'I -4'
_space_group_IT_number 82
_space_group_name_Hall 'I -4'
_cell_length_a 6.9128
_cell_length_b 6.9128
_cell_length_c 8.6092
_cell_angle_alpha 90.00
_cell_angle_beta 90.00
_cell_angle_gamma 90.00
loop_
_atom_site_label
_atom_site_type_symbol
_atom_site_fract_x
_atom_site_fract_y
_atom_site_fract_z
_atom_site_occupancy
K1 K 0.0000 0.0000 0.0000 1
K2 K 0.0000 0.5000 0.2500 1
Be1 Be 0.0000 0.0000 0.5000 1
Sn1 Sn 0.0000 0.5000 0.7500 1
S1 S 0.1503 0.2341 0.6078 1

---

Record 12
# ZrAl3In (PBE, optimized geometry)
# energy relative to the lowest polymorph listed for this composition	0.000	kcal/mol of atoms
# ΔH_f (0 K)	0.8131	eV/atom
# D(E_F)	1.213	states/eV per atom
data_ZrAl3In
_chemical_formula_sum 'Zr1 Al3 In1'
_space_group_name_H-M_alt 'P m -3 m'
_space_group_IT_number 221
_space_group_name_Hall '-P 4 2 3'
_cell_length_a 5.3299
_cell_length_b 5.3299
_cell_length_c 5.3299
_cell_angle_alpha 90.00
_cell_angle_beta 90.00
_cell_angle_gamma 90.00
loop_
_atom_site_label
_atom_site_type_symbol
_atom_site_fract_x
_atom_site_fract_y
_atom_site_fract_z
_atom_site_occupancy
Zr1 Zr 0.0000 0.0000 0.0000 1
Al1 Al 0.0000 0.0000 0.5000 1
In1 In 0.5000 0.5000 0.5000 1

---

Record 13
# LaScSN2 (PBE, optimized geometry)
# energy relative to the lowest polymorph listed for this composition	35.702	kcal/mol of atoms
# D(E_F)	0.537	states/eV per atom
data_LaScSN2
_chemical_formula_sum 'La1 Sc1 S1 N2'
_space_group_name_H-M_alt 'P 4/m m m'
_space_group_IT_number 123
_space_group_name_Hall '-P 4 2'
_cell_length_a 4.4310
_cell_length_b 4.4310
_cell_length_c 4.4073
_cell_angle_alpha 90.00
_cell_angle_beta 90.00
_cell_angle_gamma 90.00
loop_
_atom_site_label
_atom_site_type_symbol
_atom_site_fract_x
_atom_site_fract_y
_atom_site_fract_z
_atom_site_occupancy
La1 La 0.0000 0.0000 0.0000 1
Sc1 Sc 0.5000 0.5000 0.0000 1
S1 S 0.5000 0.5000 0.5000 1
N1 N 0.0000 0.5000 0.5000 1

---

| no. | final energy (eV for the cell shown) |
| --- | --- |
| 1 | -20.421 |
| 2 | -62.741 |
| 3 | -56.089 |
| 4 | -34.529 |
| 5 | -20.224 |
| 6 | -78.072 |
| 7 | -97.801 |
| 8 | -11.770 |
| 9 | -208.154 |
| 10 | -26.375 |
| 11 | -67.770 |
| 12 | -18.449 |
| 13 | -28.235 |